# 1
SiPIrO GGA-PBE relaxed; total magnetization = 0.01 μB/cell; symmetry = No. 129
1.0
2.6609 -2.6609 0.0000
2.6609 2.6609 0.0000
0.0000 0.0000 9.1038
Ir P Si O
2 2 2 2
direct
0.5000 0.0000 0.5000
0.0000 0.5000 0.5000
0.5000 0.5000 0.3476
0.0000 0.0000 0.6524
0.0000 0.0000 0.0950
0.5000 0.5000 0.9050
0.5000 0.0000 0.0000
0.0000 0.5000 0.0000

# 2
SiPIrO GGA-PBE relaxed; total magnetization = 0.02 μB/cell; symmetry = No. 129
1.0
-2.9994 -0.0132 1.9562
1.4855 -2.3453 2.2619
2.7416 5.8287 4.2432
Ir Si P O
2 2 2 2
direct
0.0000 0.0000 0.1749
0.5000 0.5000 0.8251
0.0000 0.5000 0.5000
0.5000 0.0000 0.5000
0.0000 0.0000 0.7275
0.5000 0.5000 0.2725
0.0000 0.5000 0.0000
0.5000 0.0000 0.0000

# 3
SiPIrO GGA-PBE relaxed; total magnetization = 0.00 μB/cell; symmetry = No. 26
1.0
2.9264 0.0000 0.0000
0.0000 6.5814 0.0000
0.0000 0.0000 5.8491
O P Si Ir
2 2 2 2
direct
0.0000 0.8208 0.9063
0.0000 0.1792 0.4063
0.5000 0.7708 0.3936
0.5000 0.2292 0.8936
0.5000 0.9055 0.0349
0.5000 0.0945 0.5349
0.0000 0.4788 0.9193
0.0000 0.5212 0.4193

| no. | distance to the lowest polymorph of the same formula (meV per atom) |
| --- | --- |
| 1 | 114 |
| 2 | 1168 |
| 3 | 118 |